#i
This record from Alexandria via LeMat-Bulk describes AgP at its PBEsol-relaxed geometry. The functional is meta-GGA SCAN.

It has space group R-3m (No. 166, hexagonal axes), with a = 4.3604 Å, b = 4.3604 Å, c = 12.5102 Å, α = 90.00°, β = 90.00° and γ = 120.00°. The distinct sites, in fractional coordinates, are Ag at (0.0000, 0.0000, 0.1130) and P at (0.0000, 0.0000, 0.3135).



#ii
This record from Alexandria via LeMat-Bulk describes AgP at its PBEsol-relaxed geometry. The functional is meta-GGA SCAN.

It has space group F-43m (No. 216), with a = 5.528 Å, b = 5.528 Å, c = 5.528 Å, α = 90.00°, β = 90.00° and γ = 90.00°. The distinct sites, in fractional coordinates, are Ag at (0.000, 0.000, 0.000) and P at (0.250, 0.250, 0.250).



#iii
This record from Alexandria via LeMat-Bulk describes AgP at its PBEsol-relaxed geometry. The functional is meta-GGA SCAN.

It has space group Cmme (No. 67), with a = 3.117 Å, b = 4.995 Å, c = 8.287 Å, α = 90.00°, β = 90.00° and γ = 90.00°. The distinct sites, in fractional coordinates, are Ag at (0.000, 0.250, 0.137) and P at (0.000, 0.250, 0.598).



In terms of stability, #iii leads; the second structure lies 0.006 eV/atom higher.



#i
This record from Alexandria via LeMat-Bulk describes AgPRh at its PBEsol-relaxed geometry. The functional is meta-GGA SCAN.

It has space group I4mm (No. 107), with a = 3.024 Å, b = 3.024 Å, c = 9.673 Å, α = 90.00°, β = 90.00° and γ = 90.00°. The distinct sites, in fractional coordinates, are Ag at (0.000, 0.000, 0.000), P at (0.000, 0.000, 0.694) and Rh at (0.000, 0.000, 0.297).



#ii
This record from Alexandria via LeMat-Bulk describes AgPRh at its PBEsol-relaxed geometry. The functional is meta-GGA SCAN.

It has space group P3m1 (No. 156), with a = 2.8965 Å, b = 2.8965 Å, c = 6.2062 Å, α = 90.00°, β = 90.00° and γ = 120.00°. The distinct sites, in fractional coordinates, are Ag at (0.0000, 0.0000, 0.0000), P at (0.3333, 0.6667, 0.6288) and Rh at (0.6667, 0.3333, 0.3757).



In terms of stability, #i leads; the second structure lies 0.125 eV/atom higher.



#i
This record from Alexandria via LeMat-Bulk describes AgP2Rh at its PBEsol-relaxed geometry. The functional is meta-GGA SCAN.

It has space group I-4m2 (No. 119), with a = 3.711 Å, b = 3.711 Å, c = 8.251 Å, α = 90.00°, β = 90.00° and γ = 90.00°. The distinct sites, in fractional coordinates, are Ag at (0.000, 0.000, 0.000), P at (0.000, 0.000, 0.500), P at (0.000, 0.500, 0.250) and Rh at (0.000, 0.500, 0.750).



#ii
This record from Alexandria via LeMat-Bulk describes AgP2Rh at its PBEsol-relaxed geometry. The functional is meta-GGA SCAN.

It has space group P4/mmm (No. 123), with a = 4.245 Å, b = 4.245 Å, c = 3.181 Å, α = 90.00°, β = 90.00° and γ = 90.00°. The distinct sites, in fractional coordinates, are Ag at (0.000, 0.000, 0.000), P at (0.000, 0.500, 0.500) and Rh at (0.500, 0.500, 0.000).



In terms of stability, #ii leads; the second structure lies 0.016 eV/atom higher.



#i
This record from Alexandria via LeMat-Bulk describes AgP2Ru at its PBEsol-relaxed geometry. The functional is meta-GGA SCAN.

It has space group I4/mmm (No. 139), with a = 4.160 Å, b = 4.160 Å, c = 6.419 Å, α = 90.00°, β = 90.00° and γ = 90.00°. The distinct sites, in fractional coordinates, are Ag at (0.000, 0.000, 0.000), P at (0.000, 0.500, 0.250) and Ru at (0.000, 0.000, 0.500).



#ii
This record from Alexandria via LeMat-Bulk describes AgP2Ru at its PBEsol-relaxed geometry. The functional is meta-GGA SCAN.

It has space group Cmm2 (No. 35), with a = 3.059 Å, b = 4.673 Å, c = 8.188 Å, α = 90.00°, β = 90.00° and γ = 90.00°. The distinct sites, in fractional coordinates, are Ag at (0.000, 0.000, 0.000), P at (0.000, 0.000, 0.511), P at (0.000, 0.500, 0.262) and Ru at (0.000, 0.500, 0.710).



In terms of stability, #i leads; the second structure lies 0.136 eV/atom higher.